Density functional theory data (PBE with a Hubbard U) for an optimized crystal structure of Ni2Se2O7.

Summary:
E_tot = -5.057 eV per atom
V = 16.846 Å³/atom
theoretical density = 3.5 g/cm3

Unit cell a=5.241 b=5.241 c=7.235 alpha=92.32 beta=92.32 gamma=110.81
Element x y z (fractional)
Ni 0.188 0.812 0.000
Ni 0.812 0.188 0.000
Se 0.246 0.246 0.270
Se 0.753 0.753 0.731
O 0.036 0.036 0.790
O 0.151 0.475 0.142
O 0.475 0.151 0.142
O 0.521 0.850 0.846
O 0.666 0.666 0.513
O 0.850 0.521 0.846
O 0.965 0.965 0.180